Material: SrZn2Os
Method: DFT, GGA-PBE
State: optimized geometry

```
SrZn2Os
1.0
-3.8042 -1.9865 2.0824
-1.4330 -1.6858 -4.2261
1.9736 -9.1884 0.3037
Sr Zn Os
2 4 2
Direct
0.5000 0.5000 0.0000
0.2500 0.7500 0.5000
0.8567 0.1250 0.2500
0.8933 0.6250 0.2500
0.3750 0.1433 0.7500
0.8750 0.1067 0.7500
0.0000 0.0000 0.0000
0.7500 0.2500 0.5000
```

Output
As for the formation energy from the elements: 381 meV/atom. For the total magnetic moment, the calculation gives 0.004 μB per atom.


Material: SrZn2Os
Method: DFT, GGA-PBE
State: optimized geometry

```
SrZn2Os
1.0
5.1658 -0.0515 0.0000
1.6345 4.9007 0.0000
-3.4002 -2.4246 3.0411
Os Sr Zn
1 1 2
Direct
0.5000 0.5000 0.0000
0.7500 0.2500 0.5000
0.0000 0.0000 0.0000
0.2500 0.7500 0.5000
```

Output
As for the formation energy from the elements: 585 meV/atom. For the total magnetic moment, the calculation gives 0.000 μB per atom.


Material: SrZnOs3
Method: DFT, GGA-PBE
State: optimized geometry

```
SrZnOs3
1.0
4.6606 0.0000 0.0000
0.0000 4.6606 0.0000
0.0000 0.0000 4.6606
Sr Zn Os
1 1 3
Direct
0.5000 0.5000 0.5000
0.0000 0.0000 0.0000
0.0000 0.5000 0.0000
0.0000 0.0000 0.5000
0.5000 0.0000 0.0000
```

Output
The calculation puts the energy relative to the lowest polymorph listed for this composition at 0.000 eV per atom. As for the formation energy from the elements: 1669 meV/atom. For the total magnetic moment, the calculation gives 0.347 μB per atom.


Material: SrZn4Os
Method: DFT, GGA-PBE
State: optimized geometry

```
SrZn4Os
1.0
0.0000 3.7087 3.7087
3.7087 0.0000 3.7087
3.7087 3.7087 0.0000
Sr Zn Os
1 4 1
Direct
0.0000 0.0000 0.0000
0.8693 0.3769 0.3769
0.3769 0.3769 0.8693
0.3769 0.8693 0.3769
0.3769 0.3769 0.3769
0.7500 0.7500 0.7500
```

Output
As for the formation energy from the elements: 192 meV/atom. For the total magnetic moment, the calculation gives 0.000 μB per atom.


Material: Sr2ZnOs
Method: DFT, GGA-PBE
State: optimized geometry

```
Sr2ZnOs
1.0
5.2366 0.0171 -0.0118
-0.0210 5.2365 -0.0118
0.0073 0.0074 3.7413
Os Sr Zn
1 2 1
Direct
0.0000 0.5000 0.5000
0.0000 0.0000 0.0000
0.5000 0.5000 0.0000
0.5000 0.0000 0.5000
```

Output
As for the formation energy from the elements: 524 meV/atom. For the total magnetic moment, the calculation gives 0.001 μB per atom.


Material: Sr2ZnOs
Method: DFT, GGA-PBE
State: optimized geometry

```
Sr2ZnOs
1.0
-1.1509 4.7331 2.6574
-4.8797 -0.6624 2.5571
4.5640 -3.1552 0.0581
Os Sr Zn
1 2 1
Direct
0.2500 0.7500 0.5000
0.0000 0.0000 0.0000
0.7500 0.2500 0.5000
0.5000 0.5000 0.0000
```

Output
As for the formation energy from the elements: 569 meV/atom. For the total magnetic moment, the calculation gives 0.000 μB per atom.


Material: SrZn2Os
Method: DFT, GGA-PBE
State: optimized geometry

```
SrZn2Os
1.0
-0.1729 5.6951 -0.3107
-0.7551 2.8910 4.8613
3.2417 -3.6018 -3.0132
Os Sr Zn
1 1 2
Direct
0.5306 0.5306 0.0000
0.2609 0.7609 0.5000
0.9748 0.9748 0.0000
0.7338 0.2338 0.5000
```

Output
As for the formation energy from the elements: 485 meV/atom. For the total magnetic moment, the calculation gives 0.047 μB per atom.


Material: SrZn2Os
Method: DFT, GGA-PBE
State: optimized geometry

```
SrZn2Os
1.0
4.4051 0.0000 0.0000
0.0000 4.4038 0.0000
0.0000 0.0000 3.9845
Os Sr Zn
1 1 2
Direct
0.5000 0.0000 0.5000
0.0000 0.5000 0.5000
0.0000 0.0000 0.0000
0.5000 0.5000 0.0000
```

Output
As for the formation energy from the elements: 577 meV/atom. For the total magnetic moment, the calculation gives 0.123 μB per atom.


What is the formula in the second record? SrZn2Os